No. 1
## Ac2ErAs3Rh4 (PBE)

Data for crystalline Ac2ErAs3Rh4 at its relaxed geometry.

Structure (POSCAR):
```
Ac2ErAs3Rh4
1.0
4.2513 0.0000 0.0000
0.0000 4.2513 0.0000
0.0000 0.0000 11.4346
Ac Er As Rh
2 1 3 4
Direct
0.5000 0.0000 0.2328 Ac
0.0000 0.5000 0.7672 Ac
0.5000 0.5000 0.5000 Er
0.0000 0.0000 0.5000 As
0.5000 0.0000 0.8755 As
0.0000 0.5000 0.1245 As
0.5000 0.5000 0.0000 Rh
0.0000 0.0000 0.0000 Rh
0.5000 0.0000 0.6554 Rh
0.0000 0.5000 0.3446 Rh
```

Properties
Energy of formation from the pure elements = -0.953 eV per atom
Symmetry = P-4m2, No. 115

---

No. 2
## PrPd8Pt4 (PBE)

Data for crystalline PrPd8Pt4 at its relaxed geometry.

Structure (POSCAR):
```
PrPd8Pt4
1.0
-0.5298 2.9812 4.3685
-6.6278 0.2911 2.2312
0.7473 -3.7342 5.8726
Pr Pd Pt
1 8 4
Direct
0.0000 0.0000 0.0000 Pr
0.0000 0.3476 0.6524 Pd
0.0000 0.6524 0.3476 Pd
0.3476 0.6524 0.6524 Pd
0.6524 0.3476 0.3476 Pd
0.5000 0.7806 0.2194 Pd
0.5000 0.2194 0.7806 Pd
0.2806 0.2194 0.2194 Pd
0.7194 0.7806 0.7806 Pd
0.0000 0.0000 0.5000 Pt
0.5000 0.0000 0.5000 Pt
0.0000 0.5000 0.0000 Pt
0.5000 0.5000 0.0000 Pt
```

Properties
Energy of formation from the pure elements = -0.294 eV per atom
Symmetry = I4/mmm, No. 139

---

No. 3
## MnCo (PBE)

Data for crystalline MnCo at its relaxed geometry.

Structure (POSCAR):
```
MnCo
1.0
4.6404 0.0000 0.0000
0.0000 4.6404 0.0000
0.0000 0.0000 4.6849
Mn Co
4 4
Direct
0.8034 0.1966 0.0000 Mn
0.3034 0.3034 0.5000 Mn
0.6966 0.6966 0.5000 Mn
0.1966 0.8034 0.0000 Mn
0.6910 0.6910 0.0000 Co
0.1910 0.8090 0.5000 Co
0.8090 0.1910 0.5000 Co
0.3090 0.3090 0.0000 Co
```

Properties
Energy of formation from the pure elements = 0.672 eV per atom
Symmetry = P4_2/mnm, No. 136

---

No. 4
## Ho3TlS (PBE)

Data for crystalline Ho3TlS at its relaxed geometry.

Structure (POSCAR):
```
Ho3TlS
1.0
5.1379 0.0000 0.0000
0.0000 5.1379 0.0000
0.0000 0.0000 5.1379
S Tl Ho
1 1 3
Direct
0.0000 0.0000 0.0000 S
0.5000 0.5000 0.5000 Tl
0.0000 0.5000 0.0000 Ho
0.0000 0.0000 0.5000 Ho
0.5000 0.0000 0.0000 Ho
```

Properties
Symmetry = Pm-3m, No. 221
Formation energy (no corrections) = -78 kJ/mol of atoms
Offset from the most stable computed form = 164 meV per atom